TaAlFeNi (PBE, optimized geometry); space-group type = F-43m (216); energy above the most stable polymorph in this dataset = 1.136 eV/f.u.; spin magnetization = 1.9 μB per formula unit
1.0
0.000 3.011 3.011
3.011 0.000 3.011
3.011 3.011 0.000
Al Fe Ni Ta
1 1 1 1
Direct
0.000 0.000 0.000
0.500 0.500 0.500
0.750 0.750 0.750
0.250 0.250 0.250